A relaxed structure of Na2Zn2Ag5Au, computed with GGA-PBE.

Lattice parameters (Å, degrees): 9.8543 9.8543 3.9736 90.00 90.00 90.00
Atoms (fractional coordinates):
Na  0.1771  0.3229  0.0000
Na  0.3229  0.8229  0.0000
Na  0.6771  0.1771  0.0000
Na  0.8229  0.6771  0.0000
Zn  0.1210  0.6210  0.0000
Zn  0.3790  0.1210  0.0000
Zn  0.6210  0.8790  0.0000
Zn  0.8790  0.3790  0.0000
Ag  0.0000  0.5000  0.5000
Ag  0.0646  0.7976  0.5000
Ag  0.2024  0.0646  0.5000
Ag  0.2976  0.5646  0.5000
Ag  0.4354  0.2976  0.5000
Ag  0.5000  0.0000  0.5000
Ag  0.5646  0.7024  0.5000
Ag  0.7024  0.4354  0.5000
Ag  0.7976  0.9354  0.5000
Ag  0.9354  0.2024  0.5000
Au  0.0000  0.0000  0.0000
Au  0.5000  0.5000  0.0000

ΔH_f (0 K) ... -0.037 eV per atom